(1)
A geometry-optimized RbSrOsBr2 structure. Source: Alexandria via LeMat-Bulk, functional PBE.

Structure (POSCAR):
```
RbSrOsBr2
1.0
-3.6405 -1.7386 -3.5822
3.9074 -0.5878 -3.6858
0.7962 -5.0736 1.6532
Sr Os Br Rb
1 1 2 1
Cartesian
0.5316 -3.7000 -2.8074 Sr
0.0000 0.0000 0.0000 Os
0.3981 -2.5368 0.8266 Br
-1.8203 -0.8693 -1.7911 Br
1.9537 -0.2939 -1.8429 Rb
```

Properties
V in Å³/cell: 157.3
Final energy in eV/atom: -2.917
Space group: No. 123

(2)
A geometry-optimized LaTb5DyHo2 structure. Source: Alexandria via LeMat-Bulk, functional PBE.

Structure (POSCAR):
```
LaTb5DyHo2
1.0
-5.4184 -1.4987 -0.3695
2.6217 -1.3324 9.9111
-2.8911 9.9346 2.1003
La Tb Dy Ho
2 10 2 4
Cartesian
-5.4708 8.3472 3.4151 La
-1.3747 2.7342 9.0678 La
-0.1353 -1.3750 7.5601 Tb
-5.1012 6.4253 5.7909 Tb
-2.2157 5.3300 10.8718 Tb
-2.1019 5.8064 7.2709 Tb
-4.3115 2.4557 10.3113 Tb
-4.2424 3.9764 3.1300 Tb
-0.9572 1.9516 6.1202 Tb
-3.3991 1.5225 0.7170 Tb
-3.3490 0.4829 4.1989 Tb
-0.0752 0.1770 0.3853 Tb
-4.2430 3.0910 6.7303 Dy
-0.0707 -0.7092 3.9133 Dy
-5.1452 5.7816 9.0474 Ho
-2.1397 6.8192 3.7176 Ho
-0.9428 2.6973 2.8853 Ho
-3.4517 -0.0471 7.8542 Ho
```

Properties
V in Å³/cell: 591.7
Final energy in eV/atom: -4.486
Space group: No. 36

(3)
A geometry-optimized VBC2 structure. Source: Alexandria via LeMat-Bulk, functional PBE.

Structure (POSCAR):
```
VBC2
1.0
4.3006 0.0000 0.0000
0.0000 4.3006 0.0000
2.1503 2.1503 3.9392
C B V
4 2 2
Cartesian
3.0161 1.0751 0.9848 C
1.2845 3.2254 0.9848 C
3.2254 3.4348 2.9544 C
5.3757 5.1664 2.9544 C
2.1503 2.1503 0.0000 B
2.1503 4.3006 1.9696 B
0.0000 0.0000 0.0000 V
4.3006 2.1503 1.9696 V
```

Properties
V in Å³/cell: 72.9
Final energy in eV/atom: -8.089
Space group: No. 122

(4)
A geometry-optimized Sr6AgIr structure. Source: Alexandria via LeMat-Bulk, functional PBE.

Structure (POSCAR):
```
Sr6AgIr
1.0
-4.9300 5.6427 0.4935
-1.2242 -6.3936 3.7433
7.2090 5.3006 11.4112
Sr Ag Ir
12 2 2
Cartesian
0.7805 1.8153 5.6899 Sr
0.2743 2.7344 9.9581 Sr
-2.9856 3.2908 7.3837 Sr
-0.7330 2.4049 1.5337 Sr
4.0403 1.2589 8.2643 Sr
1.7877 2.1449 14.1143 Sr
-0.6332 5.8488 4.7093 Sr
-4.4332 4.2243 3.0261 Sr
1.6879 -1.2991 10.9386 Sr
5.4879 0.3254 12.6219 Sr
-3.3506 0.1504 4.2345 Sr
4.4054 4.3993 11.4134 Sr
-0.6572 -1.0563 5.5128 Ag
1.7120 5.6061 10.1351 Ag
3.6045 2.6503 5.7056 Ir
0.0000 0.0000 0.0000 Ir
```

Properties
V in Å³/cell: 708.1
Final energy in eV/atom: -2.900
Space group: No. 163

(5)
A geometry-optimized PrEuHoSn structure. Source: Alexandria via LeMat-Bulk, functional PBE.

Structure (POSCAR):
```
PrEuHoSn
1.0
-5.2044 -1.6110 -0.9933
-1.0153 -3.8900 -3.8086
-1.6865 -5.0365 1.5676
Eu Pr Ho Sn
1 1 1 1
Cartesian
-5.9297 -7.9032 -2.4257 Eu
-3.9531 -5.2688 -1.6171 Pr
0.0000 0.0000 0.0000 Ho
-1.9766 -2.6344 -0.8086 Sn
```

Properties
V in Å³/cell: 120.1
Final energy in eV/atom: -6.162
Space group: No. 216

(6)
A geometry-optimized ZnAgHg2 structure. Source: Alexandria via LeMat-Bulk, functional PBE.

Structure (POSCAR):
```
ZnAgHg2
1.0
9.0510 -0.0568 -0.0335
8.4692 3.1932 -0.0335
8.4692 1.5161 2.8105
Ag Hg Zn
1 2 1
Cartesian
19.4921 3.4894 2.0577 Ag
25.9005 4.6367 2.7342 Hg
13.0837 2.3422 1.3812 Hg
6.4974 1.1631 0.6859 Zn
```

Properties
V in Å³/cell: 83.5
Final energy in eV/atom: -1.071
Space group: No. 166

(7)
A geometry-optimized CdTe structure. Source: Alexandria via LeMat-Bulk, functional PBE.

Structure (POSCAR):
```
CdTe
1.0
-2.9057 -2.3436 -3.8487
2.4134 -3.0069 -3.7259
-0.6636 -5.3205 0.0061
Te Cd
2 2
Cartesian
-0.5780 -5.3355 -3.7842 Te
-0.8670 -8.0033 -5.6764 Te
0.0000 0.0000 0.0000 Cd
-0.2890 -2.6678 -1.8921 Cd
```

Properties
V in Å³/cell: 109.0
Final energy in eV/atom: -1.890
Space group: No. 227

(8)
A geometry-optimized RbPmHgS3 structure. Source: Alexandria via LeMat-Bulk, functional PBE.

Structure (POSCAR):
```
RbPmHgS3
1.0
-3.3063 1.9000 -1.8204
-5.1247 -7.1000 1.8974
-0.6619 6.3538 7.8336
Rb Pm Hg S
2 2 2 6
Cartesian
-2.0760 0.4673 1.8062 Rb
-7.0169 0.6864 6.1044 Rb
-4.3476 -3.4045 1.8908 Pm
-4.7453 4.5583 6.0197 Pm
-1.7314 3.6982 4.5524 Hg
-7.3615 -2.5444 3.3582 Hg
-7.1103 -4.0320 1.3495 S
-1.9826 5.1857 6.5610 S
-5.1208 -2.1404 4.6145 S
-3.9721 3.2942 3.2960 S
-4.9520 -0.9412 0.6554 S
-4.1409 2.0950 7.2552 S
```

Properties
V in Å³/cell: 365.5
Final energy in eV/atom: -4.292
Space group: No. 11

What did the seventh record say?
A geometry-optimized CdTe structure. Source: Alexandria via LeMat-Bulk, functional PBE.

Structure (POSCAR):
```
CdTe
1.0
-2.9057 -2.3436 -3.8487
2.4134 -3.0069 -3.7259
-0.6636 -5.3205 0.0061
Te Cd
2 2
Cartesian
-0.5780 -5.3355 -3.7842 Te
-0.8670 -8.0033 -5.6764 Te
0.0000 0.0000 0.0000 Cd
-0.2890 -2.6678 -1.8921 Cd
```

Properties
V in Å³/cell: 109.0
Final energy in eV/atom: -1.890
Space group: No. 227

> The highest V belongs to which entry?

Sr6AgIr